Record 1
This record from Alexandria describes crystalline La2AlGeP at its relaxed geometry. The functional is PBE.

The structure belongs to space group P4/mmm (No. 123); the cell edges are 5.7425, 5.7425 and 4.5414 Å and the angles 90.00°, 90.00° and 90.00°. The distinct sites, in fractional coordinates, are La at (0.0000, 0.5000, 0.0000), Al at (0.0000, 0.0000, 0.5000), Ge at (0.0000, 0.0000, 0.0000) and P at (0.5000, 0.5000, 0.5000).

The value obtained for the size of the total moment is 0.0 μB per cell. The value obtained for the energy of formation is -163 meV/atom.

=====

Record 2
This record from Alexandria describes crystalline LaPaAl2Ge2 at its relaxed geometry. The functional is PBE.

The structure belongs to space group P-3m1 (No. 164); the cell edges are 4.2704, 4.2704 and 8.4221 Å and the angles 90.00°, 90.00° and 120.00°. The distinct sites, in fractional coordinates, are La at (0.0000, 0.0000, 0.0000), Pa at (0.0000, 0.0000, 0.5000), Al at (0.3333, 0.6667, 0.7315) and Ge at (0.3333, 0.6667, 0.2574).

The value obtained for the size of the total moment is 0.0 μB per cell. The value obtained for the energy of formation is -475 meV/atom.

=====

Record 3
This record from Alexandria describes crystalline La2AlGePb at its relaxed geometry. The functional is PBE.

The structure belongs to space group P2_1/m (No. 11); the cell edges are 7.3961, 4.4907 and 9.3615 Å and the angles 90.00°, 105.05° and 90.00°. The distinct sites, in fractional coordinates, are La at (0.2071, 0.2500, 0.4073), La at (0.2552, 0.2500, 0.9840), Al at (0.4742, 0.7500, 0.2659), Ge at (0.1388, 0.7500, 0.1742) and Pb at (0.2922, 0.7500, 0.7007).

The value obtained for the size of the total moment is 0.0 μB per cell. The value obtained for the energy of formation is -565 meV/atom.